LiFeSi2, relaxed, DFT PBE-GGA; V = 12.8 Å³/atom; relative energy among the computed polymorphs = 0.000 eV per atom; calculated total energy = -5.557 eV per atom; uncorrected formation energy = -251 meV/atom; D(E_F) = 0.483 states/eV per atom; SG = P4/mmm, No. 123
1.0
2.6488 0.0000 0.0000
0.0000 2.6488 0.0000
0.0000 0.0000 7.3164
Li Fe Si
1 1 2
Direct
0.0000 0.0000 0.0000 Li
0.0000 0.0000 0.5000 Fe
0.5000 0.5000 0.2954 Si
0.5000 0.5000 0.7046 Si

***

Nd10SmSc4, relaxed, DFT PBE-GGA; V = 34.4 Å³/atom; calculated total energy = -4.650 eV per atom; D(E_F) = 1.606 states/eV per atom; formation enthalpy at 0 K = 769 kJ/mol of formula units; SG = I4/m, No. 87
1.0
-5.9075 5.9075 3.6954
5.9075 -5.9075 3.6954
5.9075 5.9075 -3.6954
Nd Sm Sc
10 1 4
Direct
0.0341 0.8925 0.3721 Nd
0.1075 0.4796 0.1415 Nd
0.2500 0.7500 0.5000 Nd
0.3380 0.9659 0.8585 Nd
0.4796 0.3380 0.3721 Nd
0.5204 0.6620 0.6279 Nd
0.6620 0.0341 0.1415 Nd
0.7500 0.2500 0.5000 Nd
0.8925 0.5204 0.8585 Nd
0.9659 0.1075 0.6279 Nd
0.0000 0.0000 0.0000 Sm
0.3071 0.5692 0.8763 Sc
0.4308 0.3071 0.7380 Sc
0.5692 0.6929 0.2620 Sc
0.6929 0.4308 0.1237 Sc

***

CaY2In, relaxed, DFT PBE-GGA; V = 29.8 Å³/atom; calculated total energy = -4.580 eV per atom; D(E_F) = 1.129 states/eV per atom; formation enthalpy at 0 K = -63 kJ/mol of formula units; SG = I-4m2, No. 119
1.0
-2.4136 2.4136 5.1215
2.4136 -2.4136 5.1215
2.4136 2.4136 -5.1215
Ca Y In
1 2 1
Direct
0.0000 0.0000 0.0000 Ca
0.5000 0.5000 0.0000 Y
0.7500 0.2500 0.5000 Y
0.2500 0.7500 0.5000 In

***

PaNb2Tc, relaxed, DFT PBE-GGA; V = 18.4 Å³/atom; relative energy among the computed polymorphs = 0.000 eV per atom; calculated total energy = -10.044 eV per atom; D(E_F) = 1.191 states/eV per atom; formation enthalpy at 0 K = -17 kJ/mol of formula units; SG = Fm-3m, No. 225
1.0
0.0000 3.3272 3.3272
3.3272 0.0000 3.3272
3.3272 3.3272 0.0000
Pa Nb Tc
1 2 1
Direct
0.0000 0.0000 0.0000 Pa
0.2500 0.2500 0.2500 Nb
0.7500 0.7500 0.7500 Nb
0.5000 0.5000 0.5000 Tc

***

ErAgSnHg, relaxed, DFT PBE-GGA; V = 23.2 Å³/atom; calculated total energy = -3.251 eV per atom; D(E_F) = 0.146 states/eV per atom; formation enthalpy at 0 K = -124 kJ/mol of formula units; SG = F-43m, No. 216
1.0
0.0000 3.5933 3.5933
3.5933 0.0000 3.5933
3.5933 3.5933 0.0000
Er Ag Sn Hg
1 1 1 1
Direct
0.0000 0.0000 0.0000 Er
0.5000 0.5000 0.5000 Ag
0.7500 0.7500 0.7500 Sn
0.2500 0.2500 0.2500 Hg

***

Ba2SrPr2Hg5, relaxed, DFT PBE-GGA; V = 34.2 Å³/atom; calculated total energy = -2.043 eV per atom; D(E_F) = 0.896 states/eV per atom; formation enthalpy at 0 K = -370 kJ/mol of formula units; SG = P4/mbm, No. 127
1.0
12.5289 0.0000 0.0000
0.0000 12.5289 0.0000
0.0000 0.0000 4.3609
Ba Sr Pr Hg
4 2 4 10
Direct
0.1734 0.3266 0.0000 Ba
0.3266 0.8266 0.0000 Ba
0.6734 0.1734 0.0000 Ba
0.8266 0.6734 0.0000 Ba
0.0000 0.0000 0.0000 Sr
0.5000 0.5000 0.0000 Sr
0.1262 0.6262 0.0000 Pr
0.3738 0.1262 0.0000 Pr
0.6262 0.8738 0.0000 Pr
0.8738 0.3738 0.0000 Pr
0.0000 0.5000 0.5000 Hg
0.0720 0.8050 0.5000 Hg
0.1950 0.0720 0.5000 Hg
0.3050 0.5720 0.5000 Hg
0.4280 0.3050 0.5000 Hg
0.5000 0.0000 0.5000 Hg
0.5720 0.6950 0.5000 Hg
0.6950 0.4280 0.5000 Hg
0.8050 0.9280 0.5000 Hg
0.9280 0.1950 0.5000 Hg

***

CoGe3Pt, relaxed, DFT PBE-GGA; V = 17.9 Å³/atom; relative energy among the computed polymorphs = 0.000 eV per atom; calculated total energy = -5.179 eV per atom; D(E_F) = 0.991 states/eV per atom; formation enthalpy at 0 K = 106 kJ/mol of formula units; SG = Pm-3m, No. 221
1.0
4.4719 0.0000 0.0000
0.0000 4.4719 0.0000
0.0000 0.0000 4.4719
Co Ge Pt
1 3 1
Direct
0.0000 0.0000 0.0000 Co
0.0000 0.0000 0.5000 Ge
0.0000 0.5000 0.0000 Ge
0.5000 0.0000 0.0000 Ge
0.5000 0.5000 0.5000 Pt

***

SiOs2Pb, relaxed, DFT PBE-GGA; V = 16.9 Å³/atom; relative energy among the computed polymorphs = 0.657 eV per atom; calculated total energy = -6.884 eV per atom; uncorrected formation energy = 1013 meV/atom; D(E_F) = 1.205 states/eV per atom; SG = F-43m, No. 216
1.0
0.0000 3.2343 3.2343
3.2343 0.0000 3.2343
3.2343 3.2343 0.0000
Si Os Pb
1 2 1
Direct
0.0000 0.0000 0.0000 Si
0.2500 0.2500 0.2500 Os
0.5000 0.5000 0.5000 Os
0.7500 0.7500 0.7500 Pb